[1]
! P2PbSe | Alexandria via LeMat-Bulk | PBE-GGA | relaxed; values from VASP
&SYSTEM
  ibrav = 0, nat = 4, ntyp = 3
/
ATOMIC_SPECIES
Se 78.96 Se.upf
P 30.97 P.upf
Pb 207.20 Pb.upf
ATOMIC_POSITIONS angstrom
Se -1.195 -2.382 -1.360
P 0.000 0.000 0.000
P 0.172 -0.667 -3.396
Pb -1.976 0.922 -2.049
CELL_PARAMETERS angstrom
-0.609 2.638 -4.084
0.953 -3.972 -2.707
-3.343 -0.793 -0.014
! Energy above the most stable polymorph in this dataset   0.638 eV per atom
! Energy relative to the elements, uncorrected   0.619 eV per atom
! Symmetry   P4/mmm, No. 123
! DOS at the Fermi energy   0.473 states/eV per atom
! Electronic total energy   -0.285 Ry per atom


[2]
! DyHfMg | Alexandria via LeMat-Bulk | PBE-GGA | relaxed; values from VASP
&SYSTEM
  ibrav = 0, nat = 3, ntyp = 3
/
ATOMIC_SPECIES
Mg 24.30 Mg.upf
Hf 178.49 Hf.upf
Dy 162.50 Dy.upf
ATOMIC_POSITIONS angstrom
Mg -1.141 -2.968 0.303
Hf 0.013 -0.027 -0.002
Dy 2.014 -4.178 -0.266
CELL_PARAMETERS angstrom
-1.634 -0.962 2.739
-2.518 -1.094 -1.886
5.038 -5.117 -0.818
! Energy above the most stable polymorph in this dataset   0.000 eV per atom
! Formation energy   13.9 kJ/mol of formula units
! Symmetry   I4mm, No. 107
! DOS at the Fermi energy   0.629 states/eV per atom
! Electronic total energy   -0.392 Ry per atom


[3]
! CrAgBi | Alexandria via LeMat-Bulk | PBE-GGA | relaxed; values from VASP
&SYSTEM
  ibrav = 0, nat = 6, ntyp = 3
/
ATOMIC_SPECIES
Cr 52.00 Cr.upf
Ag 107.87 Ag.upf
Bi 208.98 Bi.upf
ATOMIC_POSITIONS angstrom
Cr 2.186 2.186 3.471
Cr 0.000 0.000 3.471
Ag 0.000 2.186 5.337
Ag 2.186 0.000 1.605
Bi 0.000 2.186 1.444
Bi 2.186 0.000 5.499
CELL_PARAMETERS angstrom
4.372 0.000 0.000
0.000 4.372 0.000
0.000 0.000 6.943
! Formation energy   91.8 kJ/mol of formula units
! Symmetry   P4/nmm, No. 129
! DOS at the Fermi energy   0.538 states/eV per atom
! Electronic total energy   -0.377 Ry per atom


> The highest electronic total energy belongs to which entry?

P2PbSe


> Which of these has the highest DOS at the Fermi energy?

DyHfMg


> electronic total energy of number 1 (P2PbSe)?

-0.285 Ry per atom